1.
Material: Br
Method: DFT, GGA-PBEsol
State: optimized geometry

Calculated values
As for the excess energy over the best structure of this formula in the dataset: 27.8 meV per atom. The total moment comes out at 0.05 Bohr magnetons per cell. As for the symmetry: No. 2.

```
Br
1.0
-2.093 2.512 -4.376
4.928 -3.430 -3.170
-6.662 -5.632 2.550
Br
8
Direct
0.209 0.775 0.498
0.458 0.412 0.188
0.791 0.225 0.502
0.260 0.850 0.799
0.740 0.150 0.201
0.176 0.681 0.199
0.824 0.319 0.801
0.542 0.588 0.812
```



2.
Material: CaCSe2Br
Method: DFT, GGA-PBEsol
State: optimized geometry

Calculated values
The total moment comes out at 1.01 Bohr magnetons per cell. The value obtained for the total DFT energy (no corrections) is -2.9901 eV per atom. As for the symmetry: No. 123.

```
CaCSe2Br
1.0
-0.796 -3.501 -3.971
-2.187 -3.659 3.664
-5.110 2.167 -0.886
Se C Br Ca
2 1 1 1
Direct
0.000 0.500 0.000
0.000 0.000 0.500
0.500 0.500 0.500
0.500 0.000 0.000
0.000 0.000 0.000
```



3.
Material: CaW2CBr
Method: DFT, GGA-PBEsol
State: optimized geometry

Calculated values
The total moment comes out at 0.00 Bohr magnetons per cell. The value obtained for the total DFT energy (no corrections) is -5.4680 eV per atom. As for the symmetry: No. 123.

```
CaW2CBr
1.0
4.524 0.000 0.000
0.000 4.524 0.000
0.000 0.000 5.323
C Ca W Br
1 1 2 1
Direct
0.500 0.500 0.500
0.000 0.000 0.500
0.000 0.500 0.000
0.500 0.000 0.000
0.000 0.000 0.000
```